# 1
Material: TlGaGe2O6
Method: DFT, PBE
State: relaxed

Summary:
The magnetic moment comes out at 0.00 Bohr magnetons per cell. The energy relative to the elements, uncorrected comes out at -1.504 eV/atom.

Geometry as POSCAR:
```
TlGaGe2O6
1.0
5.205 -5.790 0.000
5.205 5.790 0.000
-2.096 0.000 5.425
Tl Ga Ge O
2 2 4 12
direct
0.105 0.895 0.750
0.895 0.105 0.250
0.233 0.767 0.250
0.767 0.233 0.750
0.225 0.388 0.852
0.388 0.225 0.352
0.612 0.775 0.648
0.775 0.612 0.148
0.007 0.259 0.742
0.234 0.620 0.954
0.259 0.007 0.242
0.306 0.356 0.585
0.356 0.306 0.085
0.380 0.766 0.546
0.620 0.234 0.454
0.644 0.694 0.915
0.694 0.644 0.415
0.741 0.993 0.758
0.766 0.380 0.046
0.993 0.741 0.258
```

---

# 2
Material: UGaGeO
Method: DFT, PBE
State: relaxed

Summary:
The magnetic moment comes out at 5.48 Bohr magnetons per cell. The energy relative to the elements, uncorrected comes out at -1.206 eV/atom.

Geometry as POSCAR:
```
UGaGeO
1.0
4.041 0.000 0.000
0.000 4.041 0.000
0.000 0.000 8.471
U Ga Ge O
2 2 2 2
direct
0.250 0.250 0.141
0.750 0.750 0.859
0.250 0.750 0.500
0.750 0.250 0.500
0.250 0.250 0.698
0.750 0.750 0.302
0.250 0.750 0.000
0.750 0.250 0.000
```

---

It is found that the DOS at the Fermi energy values, taken in the order of the records, are 0.00 11.69 states/eV per cell.